# 1
NbV2Mo: optimized geometry, GGA-PBEsol.

a = 6.1644 Å, b = 6.1644 Å, c = 6.1644 Å
α = 90.00°, β = 90.00°, γ = 90.00°
Last column: nearest neighbours and their distance in Å.
Space group Fm-3m (No. 225)
One atom of each set of equivalent atoms:
Nb: 0.0000 0.0000 0.0000  8 V 2.67
V: 0.2500 0.2500 0.2500  4 Nb 2.67, 4 Mo 2.67
Mo: 0.0000 0.0000 0.5000  8 V 2.67

=====

# 2
NbMo2W: optimized geometry, GGA-PBEsol.

a = 6.3312 Å, b = 6.3312 Å, c = 6.3312 Å
α = 90.00°, β = 90.00°, γ = 90.00°
Last column: nearest neighbours and their distance in Å.
Space group Fm-3m (No. 225)
One atom of each set of equivalent atoms:
Nb: 0.0000 0.0000 0.0000  8 Mo 2.74
Mo: 0.2500 0.2500 0.2500  4 Nb 2.74, 4 W 2.74
W: 0.0000 0.0000 0.5000  8 Mo 2.74

=====

# 3
NbMoW2: optimized geometry, GGA-PBEsol.

a = 6.3483 Å, b = 6.3483 Å, c = 6.3483 Å
α = 90.00°, β = 90.00°, γ = 90.00°
Last column: nearest neighbours and their distance in Å.
Space group Fm-3m (No. 225)
One atom of each set of equivalent atoms:
Nb: 0.0000 0.0000 0.0000  8 W 2.75
Mo: 0.0000 0.0000 0.5000  8 W 2.75
W: 0.2500 0.2500 0.2500  4 Mo 2.75, 4 Nb 2.75

=====

Calculated energy relative to the elements, -0.018 -0.091 -0.040 eV per atom (same order as the records).
Calculated electronic total energy, -167.72 -194.12 -201.46 eV for the cell shown (same order as the records).